Below is a geometry-optimized La2TeS2 structure, with properties calculated at the PBE level.

Output
Electronic total energy in eV per atom: -6.1665
Crystal system: monoclinic
Magnetic moment in μB per formula unit: 0.0
Formation energy (no corrections) in meV/atom: -1916
ΔE to the lowest computed polymorph in meV per atom: 68
Space group: C2/c, No. 15

a b c (Å): 7.428 7.428 7.661
angles (deg): 114.83 114.83 97.50
Element x y z (fractional)
La 0.085 0.915 0.750
La 0.335 0.665 0.250
La 0.665 0.335 0.750
La 0.915 0.085 0.250
Te 0.375 0.625 0.750
Te 0.625 0.375 0.250
S 0.016 0.265 0.030
S 0.265 0.016 0.530
S 0.735 0.984 0.470
S 0.984 0.735 0.970

=====

Below is a geometry-optimized La2TeS structure, with properties calculated at the PBE level.

Output
Electronic total energy in eV per atom: -5.6288
Crystal system: tetragonal
Magnetic moment in μB per formula unit: 0.0
Formation energy (no corrections) in meV/atom: -1348
ΔE to the lowest computed polymorph in meV per atom: 532
Space group: I-42d, No. 122

a b c (Å): 8.342 8.342 8.342
angles (deg): 131.21 131.21 71.48
Element x y z (fractional)
La 0.085 0.625 0.960
La 0.375 0.335 0.460
La 0.665 0.125 0.040
La 0.875 0.915 0.540
Te 0.250 0.750 0.500
Te 0.500 0.500 0.000
S 0.000 0.000 0.000
S 0.750 0.250 0.500

=====

Below is a geometry-optimized LaTe3S structure, with properties calculated at the PBE level.

Output
Electronic total energy in eV per atom: -4.1503
Crystal system: cubic
Magnetic moment in μB per formula unit: 0.0
Formation energy (no corrections) in meV/atom: -454
ΔE to the lowest computed polymorph in meV per atom: 0
Space group: Pm-3m, No. 221

a b c (Å): 5.308 5.308 5.308
angles (deg): 90.00 90.00 90.00
Element x y z (fractional)
La 0.000 0.000 0.000
Te 0.000 0.500 0.500
Te 0.500 0.000 0.500
Te 0.500 0.500 0.000
S 0.500 0.500 0.500

=====

Below is a geometry-optimized LaTe2S2 structure, with properties calculated at the PBE level.

Output
Electronic total energy in eV per atom: -4.5512
Crystal system: tetragonal
Magnetic moment in μB per formula unit: 0.0
Formation energy (no corrections) in meV/atom: -658
Space group: P4/mbm, No. 127

a b c (Å): 7.649 7.649 4.556
angles (deg): 90.00 90.00 90.00
Element x y z (fractional)
La 0.000 0.000 0.000
La 0.500 0.500 0.000
Te 0.144 0.356 0.500
Te 0.356 0.856 0.500
Te 0.644 0.144 0.500
Te 0.856 0.644 0.500
S 0.178 0.678 0.000
S 0.322 0.178 0.000
S 0.678 0.822 0.000
S 0.822 0.322 0.000

=====

Below is a geometry-optimized LaTeS2 structure, with properties calculated at the PBE level.

Output
Electronic total energy in eV per atom: -5.2109
Crystal system: trigonal
Magnetic moment in μB per formula unit: 0.0
Formation energy (no corrections) in meV/atom: -1130
Space group: R-3m, No. 166

a b c (Å): 8.542 8.542 8.542
angles (deg): 29.36 29.36 29.36
Element x y z (fractional)
La 0.000 0.000 0.000
Te 0.500 0.500 0.500
S 0.392 0.392 0.392
S 0.608 0.608 0.608

=====

Below is a geometry-optimized La2TeS structure, with properties calculated at the PBE level.

Output
Electronic total energy in eV per atom: -6.1344
Crystal system: trigonal
Magnetic moment in μB per formula unit: 0.0
Formation energy (no corrections) in meV/atom: -1853
ΔE to the lowest computed polymorph in meV per atom: 27
Space group: R3m, No. 160

a b c (Å): 7.929 7.929 7.929
angles (deg): 31.20 31.20 31.20
Element x y z (fractional)
La 0.000 0.000 0.000
La 0.193 0.193 0.193
Te 0.430 0.430 0.430
S 0.599 0.599 0.599

=====

Below is a geometry-optimized La2TeS2 structure, with properties calculated at the PBE level.

Output
Electronic total energy in eV per atom: -6.2340
Crystal system: orthorhombic
Magnetic moment in μB per formula unit: 0.0
Formation energy (no corrections) in meV/atom: -1984
ΔE to the lowest computed polymorph in meV per atom: 0
Space group: Immm, No. 71

a b c (Å): 8.097 8.097 8.097
angles (deg): 147.64 140.18 52.21
Element x y z (fractional)
La 0.162 0.162 0.000
La 0.838 0.838 0.000
Te 0.000 0.500 0.500
S 0.284 0.784 0.500
S 0.716 0.216 0.500

=====

Below is a geometry-optimized La2Te2S structure, with properties calculated at the PBE level.

Output
Electronic total energy in eV per atom: -5.6840
Crystal system: tetragonal
Magnetic moment in μB per formula unit: 0.0
Formation energy (no corrections) in meV/atom: -1631
ΔE to the lowest computed polymorph in meV per atom: 164
Space group: P4/mbm, No. 127

a b c (Å): 8.210 8.210 4.546
angles (deg): 90.00 90.00 90.00
Element x y z (fractional)
La 0.172 0.328 0.000
La 0.328 0.828 0.000
La 0.672 0.172 0.000
La 0.828 0.672 0.000
Te 0.142 0.642 0.500
Te 0.358 0.142 0.500
Te 0.642 0.858 0.500
Te 0.858 0.358 0.500
S 0.000 0.000 0.000
S 0.500 0.500 0.000

=====

Below is a geometry-optimized La2ThTe2S2 structure, with properties calculated at the PBE level.

Output
Electronic total energy in eV per atom: -6.0206
Crystal system: tetragonal
Magnetic moment in μB per formula unit: 0.6
Formation energy (no corrections) in meV/atom: -1476
Space group: I4/mmm, No. 139

a b c (Å): 8.966 8.966 8.966
angles (deg): 145.64 145.64 49.39
Element x y z (fractional)
La 0.114 0.114 0.000
La 0.886 0.886 0.000
Th 0.500 0.500 0.000
Te 0.312 0.312 0.000
Te 0.688 0.688 0.000
S 0.000 0.500 0.500
S 0.500 0.000 0.500

=====

Below is a geometry-optimized LaThTe2S structure, with properties calculated at the PBE level.

Output
Electronic total energy in eV per atom: -6.0285
Crystal system: tetragonal
Magnetic moment in μB per formula unit: 0.0
Formation energy (no corrections) in meV/atom: -1477
Space group: P4/nmm, No. 129

a b c (Å): 4.547 4.547 15.663
angles (deg): 90.00 90.00 90.00
Element x y z (fractional)
La 0.250 0.250 0.103
La 0.750 0.750 0.897
Th 0.250 0.250 0.600
Th 0.750 0.750 0.400
Te 0.250 0.250 0.389
Te 0.250 0.250 0.793
Te 0.750 0.750 0.207
Te 0.750 0.750 0.611
S 0.250 0.750 0.000
S 0.750 0.250 0.000

=====

Below is a geometry-optimized LaTlTeS structure, with properties calculated at the PBE level.

Output
Electronic total energy in eV per atom: -5.0219
Crystal system: trigonal
Magnetic moment in μB per formula unit: 0.0
Formation energy (no corrections) in meV/atom: -1381
Space group: R-3m, No. 166

a b c (Å): 14.471 14.471 14.471
angles (deg): 18.82 18.82 18.82
Element x y z (fractional)
La 0.124 0.124 0.124
La 0.876 0.876 0.876
Tl 0.300 0.300 0.300
Tl 0.700 0.700 0.700
Te 0.408 0.408 0.408
Te 0.592 0.592 0.592
S 0.192 0.192 0.192
S 0.808 0.808 0.808

=====

Below is a geometry-optimized LaTl2TeS4 structure, with properties calculated at the PBE level.

Output
Electronic total energy in eV per atom: -4.3976
Crystal system: monoclinic
Magnetic moment in μB per formula unit: 0.0
Formation energy (no corrections) in meV/atom: -734
Space group: P2/m, No. 10

a b c (Å): 7.471 4.111 7.912
angles (deg): 90.00 110.14 90.00
Element x y z (fractional)
La 0.000 0.000 0.000
Tl 0.000 0.500 0.500
Tl 0.500 0.000 0.500
Te 0.500 0.500 0.000
S 0.208 0.500 0.236
S 0.284 0.000 0.808
S 0.716 0.000 0.192
S 0.792 0.500 0.764